Cu2Ag3Te4 after structural relaxation, computed with GGA-PBE.

a b c (Å): 8.314 8.314 6.203
angles (deg): 95.54 95.54 82.80
Positions (direct):
1 Cu 0.052 0.354 0.070
2 Cu 0.354 0.052 0.570
3 Cu 0.646 0.948 0.430
4 Cu 0.948 0.646 0.930
5 Ag 0.164 0.836 0.250
6 Ag 0.225 0.511 0.449
7 Ag 0.489 0.775 0.051
8 Ag 0.511 0.225 0.949
9 Ag 0.775 0.489 0.551
10 Ag 0.836 0.164 0.750
11 Te 0.078 0.215 0.437
12 Te 0.215 0.078 0.937
13 Te 0.252 0.540 0.944
14 Te 0.460 0.748 0.556
15 Te 0.540 0.252 0.444
16 Te 0.748 0.460 0.056
17 Te 0.785 0.922 0.063
18 Te 0.922 0.785 0.563

Spin magnetization (μB/atom): 0.000
N(E_F) (states/eV per atom): 0.40
Space group: C2/c
E above lowest polymorph (meV/atom): 0


Pa2Te3Cl after structural relaxation, computed with GGA-PBE.

a b c (Å): 7.965 7.965 7.965
angles (deg): 63.89 63.89 63.89
Positions (direct):
1 Pa 0.142 0.142 0.142
2 Pa 0.358 0.358 0.358
3 Pa 0.642 0.642 0.642
4 Pa 0.858 0.858 0.858
5 Te 0.033 0.750 0.467
6 Te 0.250 0.533 0.967
7 Te 0.467 0.033 0.750
8 Te 0.533 0.967 0.250
9 Te 0.750 0.467 0.033
10 Te 0.967 0.250 0.533
11 Cl 0.000 0.000 0.000
12 Cl 0.500 0.500 0.500

Total energy (eV for the cell shown): -70.93
Spin magnetization (μB/atom): 0.504
N(E_F) (states/eV per atom): 1.89
Space group: R-3c


Al2CdAs after structural relaxation, computed with GGA-PBE.

a b c (Å): 4.638 4.638 3.620
angles (deg): 90.00 90.00 90.00
Positions (direct):
1 Al 0.000 0.500 0.000
2 Al 0.500 0.000 0.000
3 Cd 0.000 0.000 0.500
4 As 0.500 0.500 0.500

Spin magnetization (μB/atom): 0.000
N(E_F) (states/eV per atom): 0.48
Space group: P4/mmm
E above lowest polymorph (meV/atom): 131
Formation enthalpy at 0 K (meV/atom): 183


BaIn12Hg7 after structural relaxation, computed with GGA-PBE.

a b c (Å): 8.036 8.589 9.716
angles (deg): 115.28 106.50 93.99
Positions (direct):
1 Ba 0.000 0.000 0.000
2 In 0.064 0.769 0.560
3 In 0.189 0.562 0.783
4 In 0.248 0.819 0.320
5 In 0.356 0.222 0.563
6 In 0.389 0.458 0.098
7 In 0.469 0.732 0.676
8 In 0.531 0.268 0.324
9 In 0.611 0.542 0.902
10 In 0.644 0.778 0.437
11 In 0.752 0.181 0.680
12 In 0.811 0.438 0.217
13 In 0.936 0.231 0.440
14 Hg 0.000 0.500 0.000
15 Hg 0.158 0.154 0.766
16 Hg 0.205 0.426 0.348
17 Hg 0.437 0.886 0.089
18 Hg 0.563 0.114 0.911
19 Hg 0.795 0.574 0.652
20 Hg 0.842 0.846 0.234

Spin magnetization (μB/atom): 0.000
N(E_F) (states/eV per atom): 0.38
Space group: P-1
Formation enthalpy at 0 K (meV/atom): -69


Be2SeBr after structural relaxation, computed with GGA-PBE.

a b c (Å): 5.247 5.247 5.247
angles (deg): 142.81 100.95 90.77
Positions (direct):
1 Be 0.227 0.000 0.227
2 Be 0.773 0.000 0.773
3 Se 0.000 0.500 0.500
4 Br 0.500 0.500 0.000

Spin magnetization (μB/atom): 0.000
N(E_F) (states/eV per atom): 0.20
Space group: Immm
E above lowest polymorph (meV/atom): 431


PuTaSi2Ru after structural relaxation, computed with GGA-PBE.

a b c (Å): 6.239 6.239 6.239
angles (deg): 142.80 142.80 53.62
Positions (direct):
1 Pu 0.000 0.000 0.000
2 Ta 0.750 0.250 0.500
3 Si 0.393 0.393 0.000
4 Si 0.607 0.607 0.000
5 Ru 0.250 0.750 0.500

Total energy (eV for the cell shown): -49.00
Spin magnetization (μB/atom): 1.093
N(E_F) (states/eV per atom): 2.07
Space group: I-4m2


NpGaSn2 after structural relaxation, computed with GGA-PBE.

a b c (Å): 8.038 8.038 8.038
angles (deg): 36.78 36.78 36.78
Positions (direct):
1 Np 0.000 0.000 0.000
2 Ga 0.500 0.500 0.500
3 Sn 0.383 0.383 0.383
4 Sn 0.617 0.617 0.617

Spin magnetization (μB/atom): 1.047
N(E_F) (states/eV per atom): 2.80
Space group: R-3m
E above lowest polymorph (meV/atom): 902
Formation enthalpy at 0 K (meV/atom): 736


Li12Tb5Ag3 after structural relaxation, computed with GGA-PBE.

a b c (Å): 13.720 13.720 13.720
angles (deg): 109.47 109.47 109.47
Positions (direct):
1 Li 0.051 0.647 0.394
2 Li 0.051 0.904 0.657
3 Li 0.096 0.253 0.147
4 Li 0.096 0.343 0.949
5 Li 0.106 0.753 0.657
6 Li 0.106 0.853 0.449
7 Li 0.147 0.096 0.253
8 Li 0.147 0.551 0.894
9 Li 0.157 0.253 0.606
10 Li 0.157 0.404 0.551
11 Li 0.247 0.343 0.894
12 Li 0.247 0.404 0.353
13 Li 0.253 0.147 0.096
14 Li 0.253 0.606 0.157
15 Li 0.343 0.894 0.247
16 Li 0.343 0.949 0.096
17 Li 0.353 0.247 0.404
18 Li 0.353 0.606 0.949
19 Li 0.394 0.051 0.647
20 Li 0.394 0.843 0.747
21 Li 0.404 0.353 0.247
22 Li 0.404 0.551 0.157
23 Li 0.449 0.106 0.853
24 Li 0.449 0.843 0.596
25 Li 0.551 0.157 0.404
26 Li 0.551 0.894 0.147
27 Li 0.596 0.449 0.843
28 Li 0.596 0.647 0.753
29 Li 0.606 0.157 0.253
30 Li 0.606 0.949 0.353
31 Li 0.647 0.394 0.051
32 Li 0.647 0.753 0.596
33 Li 0.657 0.051 0.904
34 Li 0.657 0.106 0.753
35 Li 0.747 0.394 0.843
36 Li 0.747 0.853 0.904
37 Li 0.753 0.596 0.647
38 Li 0.753 0.657 0.106
39 Li 0.843 0.596 0.449
40 Li 0.843 0.747 0.394
41 Li 0.853 0.449 0.106
42 Li 0.853 0.904 0.747
43 Li 0.894 0.147 0.551
44 Li 0.894 0.247 0.343
45 Li 0.904 0.657 0.051
46 Li 0.904 0.747 0.853
47 Li 0.949 0.096 0.343
48 Li 0.949 0.353 0.606
49 Tb 0.000 0.000 0.000
50 Tb 0.000 0.000 0.500
51 Tb 0.000 0.500 0.000
52 Tb 0.000 0.500 0.500
53 Tb 0.125 0.750 0.875
54 Tb 0.125 0.875 0.250
55 Tb 0.250 0.125 0.875
56 Tb 0.250 0.625 0.375
57 Tb 0.375 0.250 0.625
58 Tb 0.375 0.625 0.750
59 Tb 0.500 0.000 0.000
60 Tb 0.500 0.000 0.500
61 Tb 0.500 0.500 0.000
62 Tb 0.500 0.500 0.500
63 Tb 0.625 0.375 0.250
64 Tb 0.625 0.750 0.375
65 Tb 0.750 0.375 0.625
66 Tb 0.750 0.875 0.125
67 Tb 0.875 0.125 0.750
68 Tb 0.875 0.250 0.125
69 Ag 0.125 0.250 0.375
70 Ag 0.125 0.375 0.750
71 Ag 0.250 0.375 0.125
72 Ag 0.250 0.875 0.625
73 Ag 0.375 0.125 0.250
74 Ag 0.375 0.750 0.125
75 Ag 0.625 0.250 0.875
76 Ag 0.625 0.875 0.750
77 Ag 0.750 0.125 0.375
78 Ag 0.750 0.625 0.875
79 Ag 0.875 0.625 0.250
80 Ag 0.875 0.750 0.625

Spin magnetization (μB/atom): 0.242
N(E_F) (states/eV per atom): 0.74
Space group: Ia-3d
Formation enthalpy at 0 K (meV/atom): 535


NaMgHg6 after structural relaxation, computed with GGA-PBE.

a b c (Å): 4.477 4.477 9.811
angles (deg): 90.00 90.00 90.00
Positions (direct):
1 Na 0.000 0.000 0.000
2 Mg 0.000 0.000 0.500
3 Hg 0.000 0.500 0.254
4 Hg 0.000 0.500 0.746
5 Hg 0.500 0.000 0.254
6 Hg 0.500 0.000 0.746
7 Hg 0.500 0.500 0.000
8 Hg 0.500 0.500 0.500

Spin magnetization (μB/atom): 0.000
N(E_F) (states/eV per atom): 0.32
Space group: P4/mmm
E above lowest polymorph (meV/atom): 0
Formation enthalpy at 0 K (meV/atom): -124


LaReO2F after structural relaxation, computed with GGA-PBE.

a b c (Å): 3.772 3.772 5.820
angles (deg): 90.00 90.00 90.00
Positions (direct):
1 La 0.000 0.000 0.000
2 Re 0.500 0.500 0.500
3 O 0.000 0.500 0.500
4 O 0.500 0.000 0.500
5 F 0.500 0.500 0.000

Total energy (eV for the cell shown): -37.71
Spin magnetization (μB/atom): 0.000
N(E_F) (states/eV per atom): 0.68
Space group: P4/mmm